La4HRu: optimized geometry, GGA-PBE.

a = 6.891 Å, b = 6.795 Å, c = 8.641 Å
α = 104.54°, β = 104.99°, γ = 110.87°
Fractional coordinates of all 12 atoms:
La 0.557 0.308 0.115
La 0.214 0.475 0.392
La 0.786 0.525 0.608
La 0.678 0.917 0.392
La 0.058 0.808 0.115
La 0.443 0.692 0.885
La 0.942 0.192 0.885
La 0.322 0.083 0.608
H 0.318 0.568 0.136
H 0.682 0.432 0.864
Ru 0.169 0.919 0.838
Ru 0.831 0.081 0.162

Output
The total energy is -67.59 eV for the cell shown.